# 1
MgAg2Bi | PBE | optimized geometry

As for the crystal system: monoclinic. The space group is Cm (8). The formation enthalpy at 0 K comes out at 0.045 eV per atom.

Lattice parameters (Å, degrees): 3.2747 3.2747 9.7875 98.47 98.47 59.83
Element x y z (fractional)
Mg  0.0000  0.0000  0.0000
Ag  0.4004  0.4004  0.2248
Ag  0.5987  0.5987  0.7747
Bi  0.1581  0.1581  0.4989

# 2
TaTl2In | PBE | optimized geometry

As for the crystal system: monoclinic. The space group is Pm (6). The calculation puts the energy above the most stable polymorph in this dataset at 0.45 eV per formula unit. The formation enthalpy at 0 K comes out at 0.479 eV per atom.

Lattice parameters (Å, degrees): 3.1471 5.1630 5.9757 90.00 102.48 90.00
Element x y z (fractional)
Ta  0.0000  0.0000  0.0000
Tl  0.1483  0.5000  0.2889
Tl  0.7294  0.0000  0.4948
In  0.4399  0.5000  0.8323

The following density of states at the Fermi level values (in states/eV/atom) correspond, in order, to the records above: 0.4630 0.6006.